! AcPmAlSi, optimized geometry, DFT GGA-PBE; values from VASP
&SYSTEM
  ibrav = 0, nat = 4, ntyp = 4
/
ATOMIC_SPECIES
Ac 227.00 Ac.upf
Pm 145.00 Pm.upf
Al 26.98 Al.upf
Si 28.09 Si.upf
ATOMIC_POSITIONS crystal
Ac 0.000 0.000 0.000
Pm 0.500 0.500 0.500
Al 0.750 0.750 0.750
Si 0.250 0.250 0.250
CELL_PARAMETERS angstrom
0.000 3.786 3.786
3.786 0.000 3.786
3.786 3.786 0.000
! E above lowest polymorph ... 100 kJ/mol of formula units
! Calculated density ... 6.53 g/cm³
! Energy relative to the elements, uncorrected ... -0.270 eV per atom


! Mg2Ge, optimized geometry, DFT GGA-PBE; values from VASP
&SYSTEM
  ibrav = 0, nat = 3, ntyp = 2
/
ATOMIC_SPECIES
Mg 24.30 Mg.upf
Ge 72.64 Ge.upf
ATOMIC_POSITIONS crystal
Mg 0.155 0.155 0.000
Mg 0.845 0.845 0.000
Ge 0.500 0.500 0.000
CELL_PARAMETERS angstrom
-1.581 1.581 6.175
1.581 -1.581 6.175
1.581 1.581 -6.175
! Calculated density ... 3.26 g/cm³
! Formation energy from the elements ... -18.0 kJ/mol of formula units


Repeat the first record exactly.
! AcPmAlSi, optimized geometry, DFT GGA-PBE; values from VASP
&SYSTEM
  ibrav = 0, nat = 4, ntyp = 4
/
ATOMIC_SPECIES
Ac 227.00 Ac.upf
Pm 145.00 Pm.upf
Al 26.98 Al.upf
Si 28.09 Si.upf
ATOMIC_POSITIONS crystal
Ac 0.000 0.000 0.000
Pm 0.500 0.500 0.500
Al 0.750 0.750 0.750
Si 0.250 0.250 0.250
CELL_PARAMETERS angstrom
0.000 3.786 3.786
3.786 0.000 3.786
3.786 3.786 0.000
! E above lowest polymorph ... 100 kJ/mol of formula units
! Calculated density ... 6.53 g/cm³
! Energy relative to the elements, uncorrected ... -0.270 eV per atom